First-principles (PBE-GGA) data for a relaxed structure of VCr2AuSe, as listed in Alexandria via LeMat-Bulk.

The structure in CIF format:
```
data_VCr2AuSe
_cell_length_a 4.422
_cell_length_b 4.422
_cell_length_c 4.860
_cell_angle_alpha 90.00
_cell_angle_beta 90.00
_cell_angle_gamma 90.00
_space_group_name_H-M_alt 'P 4/m m m'
_space_group_IT_number 123
_space_group_name_Hall '-P 4 2'
loop_
_atom_site_label
_atom_site_fract_x
_atom_site_fract_y
_atom_site_fract_z
V1 0.000 0.000 0.000
Cr1 0.000 0.500 0.500
Au1 0.500 0.500 0.000
Se1 0.500 0.500 0.500
```

## Properties
Theoretical density, g cm⁻³: 7.529
E_form (uncorrected), eV per atom: 1.1698